Entry 1:
## TaMoBr2 (GGA-PBEsol)

Data for a relaxed TaMoBr2 crystal.

**ΔE to the lowest computed polymorph**: 7.25 kcal/mol of atoms
**Density of states at the Fermi level**: 7.18 states/eV/cell
**E_form (uncorrected)**: 350 meV/atom
**Electronic total energy**: -6.665 eV/atom
**Crystal system**: monoclinic
**Size of the total moment**: 0.000 μB per cell

abc: 9.1491 3.1779 6.7559
angles: 90.00 94.59 90.00
With the nearest neighbours (Å) after each atom.
Space group Cm (No. 8)
Symmetry-distinct sites (fractional):
Ta 0.0000 0.0000 0.0000 [2 per cell]  3 Mo 2.55-2.61, 4 Br 2.61-2.85
Mo 0.2210 0.5000 0.9573 [2 per cell]  3 Ta 2.55-2.61, 3 Br 2.58-2.73
Br 0.0972 0.5000 0.2870 [2 per cell]  1 Mo 2.58, 2 Ta 2.61
Br 0.3535 0.0000 0.6954 [2 per cell]  2 Mo 2.73, 2 Ta 2.85

Entry 2:
## TaMoBr3 (GGA-PBEsol)

Data for a relaxed TaMoBr3 crystal.

**Density of states at the Fermi level**: 7.51 states/eV/cell
**E_form (uncorrected)**: 1252 meV/atom
**Electronic total energy**: -4.734 eV/atom
**Crystal system**: cubic
**Size of the total moment**: 5.973 μB per cell

abc: 5.0208 5.0208 5.0208
angles: 90.00 90.00 90.00
With the nearest neighbours (Å) after each atom.
Space group Pm-3m (No. 221)
Symmetry-distinct sites (fractional):
Ta 0.0000 0.0000 0.0000 [1 per cell]  12 Br 3.55
Mo 0.5000 0.5000 0.5000 [1 per cell]  6 Br 2.51
Br 0.0000 0.5000 0.5000 [3 per cell]  2 Mo 2.51

Entry 3:
## Ta2MoBr (GGA-PBEsol)

Data for a relaxed Ta2MoBr crystal.

**ΔE to the lowest computed polymorph**: 0.00 kcal/mol of atoms
**Density of states at the Fermi level**: 4.23 states/eV/cell
**E_form (uncorrected)**: 372 meV/atom
**Electronic total energy**: -9.313 eV/atom
**Crystal system**: tetragonal
**Size of the total moment**: 0.001 μB per cell

abc: 3.1905 3.1905 7.1843
angles: 90.00 90.00 90.00
With the nearest neighbours (Å) after each atom.
Space group P4mm (No. 99)
Symmetry-distinct sites (fractional):
Ta 0.0000 0.0000 0.0000 [1 per cell]  4 Mo 2.66, 4 Ta 2.80
Ta 0.5000 0.5000 0.2309 [1 per cell]  4 Ta 2.80, 4 Br 3.01, 1 Mo 3.06
Mo 0.5000 0.5000 0.8051 [1 per cell]  4 Ta 2.66
Br 0.0000 0.0000 0.5086 [1 per cell]  4 Ta 3.01, 4 Mo 3.10, 4 Br 3.19

Entry 4:
## TaMo2Br (GGA-PBEsol)

Data for a relaxed TaMo2Br crystal.

**Density of states at the Fermi level**: 4.24 states/eV/cell
**E_form (uncorrected)**: 387 meV/atom
**Electronic total energy**: -9.103 eV/atom
**Crystal system**: orthorhombic
**Size of the total moment**: 0.001 μB per cell

abc: 3.1490 3.1907 7.4024
angles: 90.00 90.00 90.00
With the nearest neighbours (Å) after each atom.
Space group Pmmm (No. 47)
Symmetry-distinct sites (fractional):
Ta 0.0000 0.0000 0.0000 [1 per cell]  8 Mo 2.70
Mo 0.5000 0.5000 0.2041 [2 per cell]  2 Br 2.70, 4 Ta 2.70
Br 0.0000 0.5000 0.5000 [1 per cell]  4 Mo 2.70

Entry 5:
## TaMoBr (GGA-PBEsol)

Data for a relaxed TaMoBr crystal.

**ΔE to the lowest computed polymorph**: 18.27 kcal/mol of atoms
**Density of states at the Fermi level**: 12.02 states/eV/cell
**E_form (uncorrected)**: 1282 meV/atom
**Electronic total energy**: -7.448 eV/atom
**Crystal system**: cubic
**Size of the total moment**: 0.001 μB per cell

abc: 6.1761 6.1761 6.1761
angles: 90.00 90.00 90.00
With the nearest neighbours (Å) after each atom.
Space group F-43m (No. 216)
Symmetry-distinct sites (fractional):
Ta 0.0000 0.0000 0.0000 [4 per cell]  4 Mo 2.67, 4 Br 2.67
Mo 0.2500 0.2500 0.7500 [4 per cell]  4 Ta 2.67
Br 0.2500 0.2500 0.2500 [4 per cell]  4 Ta 2.67

Entry 6:
## Ta2TlMoBr (GGA-PBEsol)

Data for a relaxed Ta2TlMoBr crystal.

**Density of states at the Fermi level**: 5.61 states/eV/cell
**E_form (uncorrected)**: 1400 meV/atom
**Electronic total energy**: -6.874 eV/atom
**Crystal system**: tetragonal
**Size of the total moment**: 0.000 μB per cell

abc: 4.9046 4.9046 4.8588
angles: 90.00 90.00 90.00
With the nearest neighbours (Å) after each atom.
Space group P4/mmm (No. 123)
Symmetry-distinct sites (fractional):
Ta 0.0000 0.5000 0.0000 [2 per cell]  2 Mo 2.45
Tl 0.0000 0.0000 0.5000 [1 per cell]  8 Ta 3.45, 4 Br 3.47
Mo 0.5000 0.5000 0.0000 [1 per cell]  2 Br 2.43, 4 Ta 2.45
Br 0.5000 0.5000 0.5000 [1 per cell]  2 Mo 2.43